## Pr2CdNi3Ge4 (GGA-PBE)

Data for a relaxed structure of Pr2CdNi3Ge4.

Cell lengths 4.2430, 4.2430, 10.1735 Å; angles 90.00, 90.00, 90.00 degrees
Atoms (fractional coordinates):
Pr 0.0000 0.5000 0.2368
Pr 0.5000 0.0000 0.7632
Cd 0.0000 0.0000 0.5000
Ni 0.0000 0.5000 0.8878
Ni 0.5000 0.0000 0.1122
Ni 0.5000 0.5000 0.5000
Ge 0.0000 0.0000 0.0000
Ge 0.0000 0.5000 0.6552
Ge 0.5000 0.0000 0.3448
Ge 0.5000 0.5000 0.0000

* energy relative to the elements: -0.59 eV per atom